# Hf2Co2Tc PBE optimized geometry
# Formation enthalpy at 0 K: -0.244 eV per atom
# Symmetry: No. 127
data_Hf2Co2Tc
_space_group_name_H-M_alt 'P 1'
_space_group_IT_number 1
_cell_length_a 6.508
_cell_length_b 6.508
_cell_length_c 3.682
_cell_angle_alpha 90.00
_cell_angle_beta 90.00
_cell_angle_gamma 90.00
loop_
_space_group_symop_operation_xyz
'x,y,z'
loop_
_atom_site_label
_atom_site_type_symbol
_atom_site_fract_x
_atom_site_fract_y
_atom_site_fract_z
Hf1 Hf 0.180 0.320 0.000
Hf2 Hf 0.320 0.820 0.000
Hf3 Hf 0.680 0.180 0.000
Hf4 Hf 0.820 0.680 0.000
Co1 Co 0.123 0.623 0.500
Co2 Co 0.377 0.123 0.500
Co3 Co 0.623 0.877 0.500
Co4 Co 0.877 0.377 0.500
Tc1 Tc 0.000 0.000 0.500
Tc2 Tc 0.500 0.500 0.500


# Hf5CoTc4 PBE optimized geometry
# Formation enthalpy at 0 K: -0.480 eV per atom
# Symmetry: No. 123
data_Hf5CoTc4
_space_group_name_H-M_alt 'P 1'
_space_group_IT_number 1
_cell_length_a 3.251
_cell_length_b 3.251
_cell_length_c 16.147
_cell_angle_alpha 90.00
_cell_angle_beta 90.00
_cell_angle_gamma 90.00
loop_
_space_group_symop_operation_xyz
'x,y,z'
loop_
_atom_site_label
_atom_site_type_symbol
_atom_site_fract_x
_atom_site_fract_y
_atom_site_fract_z
Hf1 Hf 0.000 0.000 0.000
Hf2 Hf 0.000 0.000 0.203
Hf3 Hf 0.000 0.000 0.403
Hf4 Hf 0.000 0.000 0.597
Hf5 Hf 0.000 0.000 0.797
Co1 Co 0.500 0.500 0.500
Tc1 Tc 0.500 0.500 0.101
Tc2 Tc 0.500 0.500 0.306
Tc3 Tc 0.500 0.500 0.694
Tc4 Tc 0.500 0.500 0.899


# HfCoTc PBE optimized geometry
# Formation enthalpy at 0 K: -0.334 eV per atom
# Symmetry: No. 74
data_HfCoTc
_space_group_name_H-M_alt 'P 1'
_space_group_IT_number 1
_cell_length_a 5.091
_cell_length_b 5.091
_cell_length_c 5.091
_cell_angle_alpha 121.40
_cell_angle_beta 120.56
_cell_angle_gamma 88.31
loop_
_space_group_symop_operation_xyz
'x,y,z'
loop_
_atom_site_label
_atom_site_type_symbol
_atom_site_fract_x
_atom_site_fract_y
_atom_site_fract_z
Hf1 Hf 0.373 0.123 0.250
Hf2 Hf 0.627 0.877 0.750
Co1 Co 0.000 0.500 0.500
Co2 Co 0.500 0.500 0.000
Tc1 Tc 0.000 0.000 0.500
Tc2 Tc 0.000 0.500 0.000


# HfCo2Tc2 PBE optimized geometry
# Formation enthalpy at 0 K: 0.051 eV per atom
# Symmetry: No. 127
data_HfCo2Tc2
_space_group_name_H-M_alt 'P 1'
_space_group_IT_number 1
_cell_length_a 7.310
_cell_length_b 7.310
_cell_length_c 2.667
_cell_angle_alpha 90.00
_cell_angle_beta 90.00
_cell_angle_gamma 90.00
loop_
_space_group_symop_operation_xyz
'x,y,z'
loop_
_atom_site_label
_atom_site_type_symbol
_atom_site_fract_x
_atom_site_fract_y
_atom_site_fract_z
Hf1 Hf 0.000 0.000 0.000
Hf2 Hf 0.500 0.500 0.000
Co1 Co 0.172 0.328 0.500
Co2 Co 0.328 0.828 0.500
Co3 Co 0.672 0.172 0.500
Co4 Co 0.828 0.672 0.500
Tc1 Tc 0.124 0.624 0.000
Tc2 Tc 0.376 0.124 0.000
Tc3 Tc 0.624 0.876 0.000
Tc4 Tc 0.876 0.376 0.000


# HfCoTcW PBE optimized geometry
# Formation enthalpy at 0 K: -0.152 eV per atom
# Symmetry: No. 216
data_HfCoTcW
_space_group_name_H-M_alt 'P 1'
_space_group_IT_number 1
_cell_length_a 4.448
_cell_length_b 4.448
_cell_length_c 4.448
_cell_angle_alpha 60.00
_cell_angle_beta 60.00
_cell_angle_gamma 60.00
loop_
_space_group_symop_operation_xyz
'x,y,z'
loop_
_atom_site_label
_atom_site_type_symbol
_atom_site_fract_x
_atom_site_fract_y
_atom_site_fract_z
Hf1 Hf 0.000 0.000 0.000
Co1 Co 0.250 0.250 0.250
Tc1 Tc 0.750 0.750 0.750
W1 W 0.500 0.500 0.500


# Y2HfCoTc PBE optimized geometry
# Formation enthalpy at 0 K: 0.757 eV per atom
# Symmetry: No. 123
data_Y2HfCoTc
_space_group_name_H-M_alt 'P 1'
_space_group_IT_number 1
_cell_length_a 5.281
_cell_length_b 5.281
_cell_length_c 4.412
_cell_angle_alpha 90.00
_cell_angle_beta 90.00
_cell_angle_gamma 90.00
loop_
_space_group_symop_operation_xyz
'x,y,z'
loop_
_atom_site_label
_atom_site_type_symbol
_atom_site_fract_x
_atom_site_fract_y
_atom_site_fract_z
Y1 Y 0.000 0.500 0.000
Y2 Y 0.500 0.000 0.000
Hf1 Hf 0.000 0.000 0.500
Co1 Co 0.500 0.500 0.500
Tc1 Tc 0.500 0.500 0.000


# HfCoTe3 PBE optimized geometry
# Formation energy (no corrections): -0.396 eV per atom
# Symmetry: No. 40
data_HfCoTe3
_space_group_name_H-M_alt 'P 1'
_space_group_IT_number 1
_cell_length_a 3.815
_cell_length_b 12.722
_cell_length_c 12.722
_cell_angle_alpha 151.04
_cell_angle_beta 90.00
_cell_angle_gamma 90.00
loop_
_space_group_symop_operation_xyz
'x,y,z'
loop_
_atom_site_label
_atom_site_type_symbol
_atom_site_fract_x
_atom_site_fract_y
_atom_site_fract_z
Hf1 Hf 0.250 0.169 0.831
Hf2 Hf 0.750 0.831 0.169
Co1 Co 0.250 0.188 0.445
Co2 Co 0.750 0.445 0.188
Te1 Te 0.250 0.013 0.471
Te2 Te 0.250 0.289 0.151
Te3 Te 0.250 0.575 0.833
Te4 Te 0.750 0.151 0.289
Te5 Te 0.750 0.471 0.013
Te6 Te 0.750 0.833 0.575


# HfCoTe3 PBE optimized geometry
# Formation energy (no corrections): 0.577 eV per atom
# Symmetry: No. 221
data_HfCoTe3
_space_group_name_H-M_alt 'P 1'
_space_group_IT_number 1
_cell_length_a 5.530
_cell_length_b 5.530
_cell_length_c 5.530
_cell_angle_alpha 90.00
_cell_angle_beta 90.00
_cell_angle_gamma 90.00
loop_
_space_group_symop_operation_xyz
'x,y,z'
loop_
_atom_site_label
_atom_site_type_symbol
_atom_site_fract_x
_atom_site_fract_y
_atom_site_fract_z
Hf1 Hf 0.000 0.000 0.000
Co1 Co 0.500 0.500 0.500
Te1 Te 0.000 0.000 0.500
Te2 Te 0.000 0.500 0.000
Te3 Te 0.500 0.000 0.000


Calculated values (A^3/atom) of calculated volume for the records, taken in order: 15.6 17.1 15.3 14.3 15.6 24.6 29.9 33.8.
Calculated values (states/eV/f.u.) of N(E_F) for the records, taken in order: 6.603 9.555 3.625 4.911 1.964 6.039 4.584 11.044.